Entry 1:
This record from the Alexandria database describes a relaxed structure of RbNpCd2O6. The functional is PBE.

- SG: P1 (1)
- Magnetization: 0.0 μB/f.u.
- Total energy: -63.32 eV/cell
- Formation energy without anion corrections: -1783 meV/atom

Unit cell a=5.9408 b=5.9374 c=6.3913 alpha=62.29 beta=62.22 gamma=59.94
Positions (direct):
Cd (0.0075, 0.0088, 0.9762)
Cd (0.5309, 0.5309, 0.4065)
O (0.6968, 0.1834, 0.7817)
O (0.9553, 0.5493, 0.2192)
O (0.1838, 0.3381, 0.7817)
O (0.5504, 0.2759, 0.2184)
O (0.2764, 0.9553, 0.2187)
O (0.3376, 0.6969, 0.7823)
Np (0.3265, 0.3265, 0.0205)
Rb (0.7965, 0.7965, 0.6100)

***

Entry 2:
This record from the Alexandria database describes a relaxed structure of Ba6InCu2. The functional is PBE.

- SG: Immm (71)
- Magnetization: 0.0 μB/f.u.
- Total energy: -46.70 eV/cell

Unit cell a=9.9824 b=9.9824 c=9.9824 alpha=106.94 beta=107.80 gamma=113.76
Positions (direct):
Ba (0.3116, 0.6445, 0.3329)
Ba (0.1859, 0.2449, 0.4307)
Ba (0.8141, 0.7551, 0.5693)
Ba (0.3116, 0.9787, 0.6671)
Ba (0.1859, 0.7551, 0.9410)
Ba (0.6884, 0.0213, 0.3329)
Ba (0.8141, 0.2449, 0.0590)
Ba (0.8969, 0.7221, 0.1748)
Ba (0.6884, 0.3555, 0.6671)
Ba (0.1031, 0.2779, 0.8252)
Ba (0.5473, 0.7221, 0.8252)
Ba (0.4527, 0.2779, 0.1748)
In (0.0000, 0.0000, 0.0000)
In (0.0000, 0.5000, 0.5000)
Cu (0.5000, 0.3957, 0.8957)
Cu (0.6725, 0.0000, 0.6725)
Cu (0.3275, 0.0000, 0.3275)
Cu (0.5000, 0.6043, 0.1043)